! PBE-GGA SrCa6Cd5, optimized geometry; values from VASP
&SYSTEM
  ibrav = 0, nat = 12, ntyp = 3
/
ATOMIC_SPECIES
Cd 112.41 Cd.upf
Ca 40.08 Ca.upf
Sr 87.62 Sr.upf
CELL_PARAMETERS angstrom
-1.8527 -1.0405 5.0651
-7.0052 -2.9803 -3.1745
4.2492 -6.9545 -2.8479
ATOMIC_POSITIONS angstrom
Cd -1.2781 -6.4901 -1.8022
Cd -3.5026 -1.4901 -1.5873
Cd -3.3306 -4.4852 0.8449
Cd -4.7106 -8.1379 -3.3960
Cd 0.1019 -2.8374 2.4387
Ca -0.6267 -6.1571 1.4862
Ca -5.9504 -2.6577 0.2558
Ca -3.9204 -7.5583 -0.0065
Ca 1.3418 -8.3175 -1.2131
Ca -0.6882 -3.4169 -0.9508
Ca -3.9820 -4.8181 -2.4434
Sr 0.0000 0.0000 0.0000
! space-group type: No. 65
! calculated volume: 30.91 Å³ per atom
! DFT formation energy: -254 meV/atom
! DOS at the Fermi energy: 9.0 states/eV/cell